Run 1
A plane-wave DFT calculation with PBE-GGA was carried out for crystalline CePm2O at its relaxed geometry. Values from VASP.

Quantum ESPRESSO input file:
```
&SYSTEM
  ibrav = 0, nat = 4, ntyp = 3
/
ATOMIC_SPECIES
O 16.00 O.upf
Pm 145.00 Pm.upf
Ce 140.12 Ce.upf
CELL_PARAMETERS angstrom
-2.718 -2.149 0.593
0.380 -2.767 2.134
-3.400 3.723 8.328
ATOMIC_POSITIONS angstrom
O -2.869 -0.596 5.527
Pm -3.260 -3.029 5.338
Pm -2.478 1.837 5.717
Ce 0.000 0.000 0.000
```

=====

Run 2
A plane-wave DFT calculation with PBE-GGA was carried out for crystalline CePm2O at its relaxed geometry. Values from VASP.

Quantum ESPRESSO input file:
```
&SYSTEM
  ibrav = 0, nat = 4, ntyp = 3
/
ATOMIC_SPECIES
Ce 140.12 Ce.upf
O 16.00 O.upf
Pm 145.00 Pm.upf
CELL_PARAMETERS angstrom
-2.230 -2.020 1.108
1.185 0.317 2.963
-5.341 6.676 1.422
ATOMIC_POSITIONS angstrom
Ce -3.193 2.486 2.747
O -0.523 -0.852 2.036
Pm -4.380 5.475 1.167
Pm -0.961 1.201 0.256
```

=====

Here are the energies relative to the best structure, in meV per atom: run 1 0; run 2 310.

=====

Run 1
A plane-wave DFT calculation with PBE-GGA was carried out for crystalline CePr2O at its relaxed geometry. Values from VASP.

Quantum ESPRESSO input file:
```
&SYSTEM
  ibrav = 0, nat = 4, ntyp = 3
/
ATOMIC_SPECIES
O 16.00 O.upf
Ce 140.12 Ce.upf
Pr 140.91 Pr.upf
CELL_PARAMETERS angstrom
-1.637 -1.860 -2.117
2.393 0.375 -2.180
3.973 -7.073 3.143
ATOMIC_POSITIONS angstrom
O 0.378 -0.742 -2.148
Ce 2.364 -4.279 -0.577
Pr 3.251 -5.788 2.572
Pr 0.722 -1.285 0.571
```

=====

Run 2
A plane-wave DFT calculation with PBE-GGA was carried out for crystalline CePr2O at its relaxed geometry. Values from VASP.

Quantum ESPRESSO input file:
```
&SYSTEM
  ibrav = 0, nat = 4, ntyp = 3
/
ATOMIC_SPECIES
Pr 140.91 Pr.upf
Ce 140.12 Ce.upf
O 16.00 O.upf
CELL_PARAMETERS angstrom
3.592 0.000 0.000
1.796 3.110 0.000
1.796 1.037 9.595
ATOMIC_POSITIONS angstrom
Pr 1.796 1.037 6.228
Pr 5.387 3.110 3.367
Ce 0.000 0.000 0.000
O 3.592 2.074 4.797
```

=====

Here are the energies relative to the best structure, in meV per atom: run 1 277; run 2 0.